Record 1
Ba2CdBBr: relaxed, PBE-GGA.

The structure belongs to space group P4/mmm (No. 123); the cell edges are 5.851, 5.851 and 5.255 Å and the angles 90.00°, 90.00° and 90.00°. The distinct sites, in fractional coordinates, are Ba at (0.000, 0.500, 0.000), Cd at (0.000, 0.000, 0.500), B at (0.500, 0.500, 0.000) and Br at (0.500, 0.500, 0.500).

As for the uncorrected formation energy: 73 kJ/mol of formula units. The calculation puts the density of states at the Fermi level at 5.13 states/eV/cell.



Record 2
CsBaB2Br8: relaxed, PBE-GGA.

The structure belongs to space group R-3 (No. 148, hexagonal axes); the cell edges are 6.8896, 6.8896 and 31.0401 Å and the angles 90.00°, 90.00° and 120.00°. The distinct sites, in fractional coordinates, are Cs at (0.0000, 0.0000, 0.0000), Ba at (0.0000, 0.0000, 0.5000), B at (0.0000, 0.0000, 0.2522), Br at (0.0000, 0.0000, 0.3176) and Br at (0.0295, 0.6270, 0.4372).

As for the uncorrected formation energy: -1016 kJ/mol of formula units. The calculation puts the density of states at the Fermi level at 18.14 states/eV/cell.



Record 3
Ba2CuBBr: relaxed, PBE-GGA.

The structure belongs to space group P4/mmm (No. 123); the cell edges are 5.791, 5.791 and 5.039 Å and the angles 90.00°, 90.00° and 90.00°. The distinct sites, in fractional coordinates, are Ba at (0.000, 0.500, 0.000), Cu at (0.000, 0.000, 0.500), B at (0.500, 0.500, 0.000) and Br at (0.500, 0.500, 0.500).

As for the uncorrected formation energy: 146 kJ/mol of formula units. The calculation puts the density of states at the Fermi level at 3.33 states/eV/cell.



Repeat the third record exactly.
Ba2CuBBr: relaxed, PBE-GGA.

The structure belongs to space group P4/mmm (No. 123); the cell edges are 5.791, 5.791 and 5.039 Å and the angles 90.00°, 90.00° and 90.00°. The distinct sites, in fractional coordinates, are Ba at (0.000, 0.500, 0.000), Cu at (0.000, 0.000, 0.500), B at (0.500, 0.500, 0.000) and Br at (0.500, 0.500, 0.500).

As for the uncorrected formation energy: 146 kJ/mol of formula units. The calculation puts the density of states at the Fermi level at 3.33 states/eV/cell.



Which value of uncorrected formation energy does entry 3 give? 146 kJ/mol of formula units